#a
DFT (PBE) results for a relaxed Mo2Os3 crystal.

The structure belongs to space group Fdd2 (No. 43); the cell edges are 9.3703, 13.2162 and 4.8837 Å and the angles 90.00°, 90.00° and 90.00°. The distinct sites, in fractional coordinates, are Mo at (0.0334, 0.1993, 0.0000), Os at (0.0000, 0.0000, 0.0605) and Os at (0.0559, 0.0964, 0.5391).

#b
DFT (PBE) results for a relaxed Mo2Os3 crystal.

The structure belongs to space group P-3m1 (No. 164); the cell edges are 4.2561, 4.2561 and 5.3243 Å and the angles 90.00°, 90.00° and 120.00°. The distinct sites, in fractional coordinates, are Mo at (0.3333, 0.6667, 0.3161), Os at (0.0000, 0.0000, 0.5000) and Os at (0.3333, 0.6667, 0.8440).

Which is most stable, and by how much? #a, by 403 meV per atom.